A plane-wave DFT calculation with PBE-GGA was carried out for a relaxed CeNd2Th3P6 crystal.

Cell: 7.1835 7.1835 7.1692 Å, 99.60 99.60 120.00°
Closest atoms and distances in Å follow each position.
Element x y z (fractional)
P  0.9160  0.5866  0.7480  3 Th 2.91-2.94, 1 Ce 2.92, 2 Nd 2.95
P  0.4134  0.0840  0.2520  3 Th 2.91-2.94, 1 Ce 2.92, 2 Nd 2.95
P  0.5866  0.9160  0.7480  3 Th 2.91-2.94, 1 Ce 2.92, 2 Nd 2.95
P  0.2453  0.2453  0.7480  1 Ce 2.91, 3 Th 2.92-2.95, 2 Nd 2.95
P  0.0840  0.4134  0.2520  3 Th 2.91-2.94, 1 Ce 2.92, 2 Nd 2.95
P  0.7547  0.7547  0.2520  1 Ce 2.91, 3 Th 2.92-2.95, 2 Nd 2.95
Ce  0.0000  0.0000  0.0000  6 P 2.91-2.92
Th  0.8326  0.1674  0.5000  6 P 2.91-2.94
Th  0.5000  0.5000  0.5000  6 P 2.91-2.95
Th  0.1674  0.8326  0.5000  6 P 2.91-2.94
Nd  0.6665  0.3335  0.0000  6 P 2.95
Nd  0.3335  0.6665  0.0000  6 P 2.95

Calculated values
The value obtained for the energy of formation is -1.557 eV/atom. The spin magnetization is 0.5 μB per formula unit. As for the space group: C2/m.

---

A plane-wave DFT calculation with PBE-GGA was carried out for a relaxed Ce2Nd3ThP6 crystal.

Cell: 7.1698 7.1698 7.1666 Å, 99.59 99.59 120.02°
Closest atoms and distances in Å follow each position.
Element x y z (fractional)
P  0.9189  0.5841  0.7565  2 Ce 2.90, 1 Th 2.91, 3 Nd 2.94-2.96
P  0.0811  0.4159  0.2435  2 Ce 2.90, 1 Th 2.91, 3 Nd 2.94-2.96
P  0.2536  0.2536  0.7564  2 Ce 2.90, 1 Th 2.91, 3 Nd 2.94-2.96
P  0.5841  0.9189  0.7565  2 Ce 2.90, 1 Th 2.91, 3 Nd 2.94-2.96
P  0.7464  0.7464  0.2436  2 Ce 2.90, 1 Th 2.91, 3 Nd 2.94-2.96
P  0.4159  0.0811  0.2435  2 Ce 2.90, 1 Th 2.91, 3 Nd 2.94-2.96
Ce  0.3333  0.6667  0.0000  6 P 2.90
Ce  0.6667  0.3333  0.0000  6 P 2.90
Nd  0.8334  0.1666  0.5000  6 P 2.94-2.96
Nd  0.1666  0.8334  0.5000  6 P 2.94-2.96
Nd  0.5000  0.5000  0.5000  6 P 2.94-2.96
Th  0.0000  0.0000  0.0000  6 P 2.91

Calculated values
The value obtained for the energy of formation is -1.548 eV/atom. The spin magnetization is 1.1 μB per formula unit. As for the space group: C2/m.

---

A plane-wave DFT calculation with PBE-GGA was carried out for a relaxed Ce4NdTh3P8 crystal.

Cell: 8.2457 8.2438 8.2453 Å, 120.00 120.00 90.00°
Closest atoms and distances in Å follow each position.
Element x y z (fractional)
Ce  0.5000  0.0000  0.0000  6 P 2.89
Ce  0.5000  0.0000  0.5000  6 P 2.90
Ce  0.0000  0.0000  0.0000  6 P 2.90
Ce  0.0000  0.0000  0.5000  6 P 2.90
P  0.2504  0.2459  0.9982  3 Ce 2.89-2.90, 2 Th 2.93, 1 Nd 2.94
P  0.2523  0.7541  0.0018  3 Ce 2.89-2.90, 2 Th 2.93, 1 Nd 2.94
P  0.7477  0.2459  0.9982  3 Ce 2.89-2.90, 2 Th 2.93, 1 Nd 2.94
P  0.2490  0.2471  0.4981  3 Ce 2.90, 3 Th 2.93
P  0.2523  0.7541  0.5045  3 Ce 2.89-2.90, 2 Th 2.93, 1 Nd 2.94
P  0.7496  0.7541  0.0018  3 Ce 2.89-2.90, 2 Th 2.93, 1 Nd 2.94
P  0.7477  0.2459  0.4955  3 Ce 2.89-2.90, 2 Th 2.93, 1 Nd 2.94
P  0.7510  0.7529  0.5019  3 Ce 2.90, 3 Th 2.93
Nd  0.0000  0.5000  0.0000  6 P 2.94
Th  0.5000  0.5000  0.5000  6 P 2.93
Th  0.0000  0.5000  0.5000  6 P 2.93
Th  0.5000  0.5000  0.0000  6 P 2.93

Calculated values
The value obtained for the energy of formation is -1.540 eV/atom. The spin magnetization is 1.9 μB per formula unit. As for the space group: R-3m.

---

A plane-wave DFT calculation with PBE-GGA was carried out for a relaxed Ce2NdTmP4 crystal.

Cell: 4.0756 7.0447 7.0613 Å, 70.50 90.00 90.00°
Closest atoms and distances in Å follow each position.
Element x y z (fractional)
Nd  0.5000  0.5000  0.0000  6 P 2.91
Tm  0.0000  0.5000  0.5000  6 P 2.85
P  0.5000  0.2522  0.7426  3 Ce 2.85-2.91, 2 Tm 2.85, 1 Nd 2.91
P  0.5000  0.7478  0.2574  3 Ce 2.85-2.91, 2 Tm 2.85, 1 Nd 2.91
P  0.0000  0.7529  0.7422  3 Ce 2.85-2.91, 1 Tm 2.85, 2 Nd 2.91
P  0.0000  0.2471  0.2578  3 Ce 2.85-2.91, 1 Tm 2.85, 2 Nd 2.91
Ce  0.5000  0.0000  0.5000  6 P 2.85
Ce  0.0000  0.0000  0.0000  6 P 2.91

Calculated values
The value obtained for the energy of formation is -1.529 eV/atom. The spin magnetization is 1.0 μB per formula unit. As for the space group: P2/m.

---

A plane-wave DFT calculation with PBE-GGA was carried out for a relaxed CeNd3Tm2P6 crystal.

Cell: 7.0566 7.0566 7.0746 Å, 99.57 99.57 120.00°
Closest atoms and distances in Å follow each position.
Element x y z (fractional)
Nd  0.5000  0.5000  0.5000  6 P 2.93
Nd  0.1664  0.8336  0.5000  6 P 2.93-2.94
Nd  0.8336  0.1664  0.5000  6 P 2.93-2.94
P  0.7443  0.7443  0.2368  2 Tm 2.83, 1 Ce 2.84, 3 Nd 2.93-2.94
P  0.5861  0.9207  0.7620  2 Tm 2.83, 1 Ce 2.85, 3 Nd 2.93
P  0.0793  0.4139  0.2380  2 Tm 2.83, 1 Ce 2.85, 3 Nd 2.93
P  0.2557  0.2557  0.7632  2 Tm 2.83, 1 Ce 2.84, 3 Nd 2.93-2.94
P  0.4139  0.0793  0.2380  2 Tm 2.83, 1 Ce 2.85, 3 Nd 2.93
P  0.9207  0.5861  0.7620  2 Tm 2.83, 1 Ce 2.85, 3 Nd 2.93
Tm  0.6667  0.3333  0.0000  6 P 2.83
Tm  0.3333  0.6667  0.0000  6 P 2.83
Ce  0.0000  0.0000  0.0000  6 P 2.84-2.85

Calculated values
The value obtained for the energy of formation is -1.552 eV/atom. The spin magnetization is 0.2 μB per formula unit. As for the space group: C2/m.

---

A plane-wave DFT calculation with PBE-GGA was carried out for a relaxed CeNd2TmP4 crystal.

Cell: 4.0915 7.0672 7.0920 Å, 109.39 90.00 90.00°
Closest atoms and distances in Å follow each position.
Element x y z (fractional)
Ce  0.0000  0.0000  0.0000  6 P 2.85-2.86
P  0.5000  0.2489  0.2396  1 Tm 2.84, 2 Ce 2.86, 3 Nd 2.93-2.94
P  0.0000  0.2556  0.7625  2 Tm 2.84, 1 Ce 2.85, 3 Nd 2.93-2.95
P  0.5000  0.7511  0.7604  1 Tm 2.84, 2 Ce 2.86, 3 Nd 2.93-2.94
P  0.0000  0.7444  0.2375  2 Tm 2.84, 1 Ce 2.85, 3 Nd 2.93-2.95
Nd  0.0000  0.5000  0.5000  6 P 2.93
Nd  0.5000  0.0000  0.5000  6 P 2.94-2.95
Tm  0.5000  0.5000  0.0000  6 P 2.84

Calculated values
The value obtained for the energy of formation is -1.543 eV/atom. The spin magnetization is 0.4 μB per formula unit. As for the space group: P2/m.

---

A plane-wave DFT calculation with PBE-GGA was carried out for a relaxed Ce2NdTm3P6 crystal.

Cell: 6.9861 6.9861 6.9608 Å, 99.63 99.63 120.00°
Closest atoms and distances in Å follow each position.
Element x y z (fractional)
Tm  0.1657  0.8343  0.5000  6 P 2.80-2.83
Tm  0.5000  0.5000  0.5000  6 P 2.79-2.83
Tm  0.8343  0.1657  0.5000  6 P 2.80-2.83
Ce  0.3331  0.6669  0.0000  6 P 2.87
Ce  0.6669  0.3331  0.0000  6 P 2.87
Nd  0.0000  0.0000  0.0000  6 P 2.91
P  0.0862  0.4243  0.2584  3 Tm 2.80-2.83, 2 Ce 2.87, 1 Nd 2.91
P  0.7484  0.7484  0.2593  3 Tm 2.79-2.82, 2 Ce 2.87, 1 Nd 2.91
P  0.2516  0.2516  0.7407  3 Tm 2.79-2.82, 2 Ce 2.87, 1 Nd 2.91
P  0.5757  0.9138  0.7416  3 Tm 2.80-2.83, 2 Ce 2.87, 1 Nd 2.91
P  0.9138  0.5757  0.7416  3 Tm 2.80-2.83, 2 Ce 2.87, 1 Nd 2.91
P  0.4243  0.0862  0.2584  3 Tm 2.80-2.83, 2 Ce 2.87, 1 Nd 2.91

Calculated values
The value obtained for the energy of formation is -1.557 eV/atom. The spin magnetization is 0.9 μB per formula unit. As for the space group: C2/m.

---

A plane-wave DFT calculation with PBE-GGA was carried out for a relaxed Ce3NdTm2P6 crystal.

Cell: 7.0298 7.0298 7.0105 Å, 99.63 99.63 120.01°
Closest atoms and distances in Å follow each position.
Element x y z (fractional)
Tm  0.3328  0.6672  0.0000  6 P 2.83-2.84
Tm  0.6672  0.3328  0.0000  6 P 2.83-2.84
P  0.5761  0.9171  0.7517  2 Tm 2.83-2.84, 3 Ce 2.84-2.90, 1 Nd 2.90
P  0.9171  0.5761  0.7517  2 Tm 2.83-2.84, 3 Ce 2.84-2.90, 1 Nd 2.90
P  0.0829  0.4239  0.2483  2 Tm 2.83-2.84, 3 Ce 2.84-2.90, 1 Nd 2.90
P  0.7410  0.7410  0.2467  3 Ce 2.83-2.89, 2 Tm 2.84, 1 Nd 2.90
P  0.2590  0.2590  0.7533  3 Ce 2.83-2.89, 2 Tm 2.84, 1 Nd 2.90
P  0.4239  0.0829  0.2483  2 Tm 2.83-2.84, 3 Ce 2.84-2.90, 1 Nd 2.90
Ce  0.8349  0.1651  0.5000  6 P 2.84-2.90
Ce  0.5000  0.5000  0.5000  6 P 2.83-2.89
Ce  0.1651  0.8349  0.5000  6 P 2.84-2.90
Nd  0.0000  0.0000  0.0000  6 P 2.90

Calculated values
The value obtained for the energy of formation is -1.534 eV/atom. The spin magnetization is 1.5 μB per formula unit. As for the space group: C2/m.

---

A plane-wave DFT calculation with PBE-GGA was carried out for a relaxed Ce3Nd2TmP6 crystal.

Cell: 7.0894 7.0894 7.0795 Å, 99.62 99.62 120.01°
Closest atoms and distances in Å follow each position.
Element x y z (fractional)
P  0.9160  0.5902  0.7476  1 Tm 2.86, 3 Ce 2.86-2.92, 2 Nd 2.93
P  0.5902  0.9160  0.7476  1 Tm 2.86, 3 Ce 2.86-2.92, 2 Nd 2.93
P  0.2408  0.2408  0.7462  1 Tm 2.86, 3 Ce 2.87-2.92, 2 Nd 2.93
P  0.7592  0.7592  0.2538  1 Tm 2.86, 3 Ce 2.87-2.92, 2 Nd 2.93
P  0.4098  0.0840  0.2524  1 Tm 2.86, 3 Ce 2.86-2.92, 2 Nd 2.93
P  0.0840  0.4098  0.2524  1 Tm 2.86, 3 Ce 2.86-2.92, 2 Nd 2.93
Nd  0.3338  0.6662  0.0000  6 P 2.93
Nd  0.6662  0.3338  0.0000  6 P 2.93
Tm  0.0000  0.0000  0.0000  6 P 2.86
Ce  0.8320  0.1680  0.5000  6 P 2.86-2.92
Ce  0.5000  0.5000  0.5000  6 P 2.86-2.92
Ce  0.1680  0.8320  0.5000  6 P 2.86-2.92

Calculated values
The value obtained for the energy of formation is -1.527 eV/atom. The spin magnetization is 1.5 μB per formula unit. As for the space group: C2/m.

---

A plane-wave DFT calculation with PBE-GGA was carried out for a relaxed Ce4NdU3P8 crystal.

Cell: 8.0683 8.1080 8.0681 Å, 119.84 120.00 90.00°
Closest atoms and distances in Å follow each position.
Element x y z (fractional)
P  0.2612  0.2570  0.0091  2 U 2.81, 3 Ce 2.84-2.91, 1 Nd 2.88
P  0.2521  0.7430  0.9909  2 U 2.81, 3 Ce 2.84-2.91, 1 Nd 2.88
P  0.7479  0.2570  0.4959  2 U 2.81, 3 Ce 2.84-2.91, 1 Nd 2.88
P  0.7460  0.7379  0.4919  3 U 2.81, 3 Ce 2.91
P  0.2540  0.2621  0.5081  3 U 2.81, 3 Ce 2.91
P  0.7388  0.7430  0.9909  2 U 2.81, 3 Ce 2.84-2.91, 1 Nd 2.88
P  0.7479  0.2570  0.0091  2 U 2.81, 3 Ce 2.84-2.91, 1 Nd 2.88
P  0.2521  0.7430  0.5041  2 U 2.81, 3 Ce 2.84-2.91, 1 Nd 2.88
Ce  0.5000  0.0000  0.0000  6 P 2.84
Ce  0.0000  0.0000  0.5000  6 P 2.91
Ce  0.0000  0.0000  0.0000  6 P 2.91
Ce  0.5000  0.0000  0.5000  6 P 2.91
Nd  0.0000  0.5000  0.0000  6 P 2.88
U  0.5000  0.5000  0.0000  6 P 2.81
U  0.0000  0.5000  0.5000  6 P 2.81
U  0.5000  0.5000  0.5000  6 P 2.81

Calculated values
The value obtained for the energy of formation is -1.290 eV/atom. The spin magnetization is 9.2 μB per formula unit. As for the space group: R-3m.